[1]
24
Lattice="0.000 6.433 13.648 4.549 0.000 13.648 4.549 6.433 0.000" Properties=species:S:1:pos:R:3 comment="PBE Ce2ErBi3, optimized geometry" delta_e_f_mev_per_atom=-795 e_tot_ev_per_cell=-131.37 space_group=Fddd pbc="T T T"
Ce 1.137 1.608 1.164
Ce 3.412 4.825 3.381
Ce 1.137 1.608 5.660
Ce 5.686 8.041 10.205
Ce 3.412 4.825 17.092
Ce 7.960 11.258 21.636
Ce 5.686 8.041 23.916
Ce 7.960 11.258 26.132
Er 3.412 4.825 7.955
Er 3.412 4.825 12.517
Er 5.686 8.041 14.779
Er 5.686 8.041 19.341
Bi 3.446 1.647 7.930
Bi 5.616 4.825 10.236
Bi 3.377 1.647 12.542
Bi 5.651 4.864 14.754
Bi 7.890 8.041 17.060
Bi 5.720 4.864 19.366
Bi 3.377 8.002 7.930
Bi 1.207 4.825 10.236
Bi 3.446 8.002 12.542
Bi 5.720 11.219 14.754
Bi 3.481 8.041 17.060
Bi 5.651 11.219 19.366


[2]
16
Lattice="7.767 0.000 0.000 0.000 8.979 0.000 -2.592 0.000 7.332" Properties=species:S:1:pos:R:3 comment="PBE CeEr3Bi4, optimized geometry" delta_e_f_mev_per_atom=-805 e_tot_ev_per_cell=-83.17 space_group=P2/c pbc="T T T"
Ce -0.648 1.136 1.833
Ce -1.944 7.843 5.499
Er -1.944 3.374 5.499
Er -0.648 5.606 1.833
Er 1.939 1.138 5.499
Er 3.235 3.374 1.833
Er 1.939 5.606 5.499
Er 3.235 7.841 1.833
Bi 0.661 3.398 3.687
Bi 1.957 5.581 0.021
Bi -0.605 1.146 7.331
Bi 0.691 7.833 3.665
Bi 4.484 1.146 3.666
Bi 5.780 7.833 0.001
Bi 3.218 3.398 7.311
Bi 4.514 5.581 3.645


[3]
8
Lattice="6.439 0.000 0.000 0.000 4.868 0.000 -2.709 0.000 8.013" Properties=species:S:1:pos:R:3 comment="PBE CeErBi2, optimized geometry" delta_e_f_mev_per_atom=-694 e_tot_ev_per_cell=-42.07 space_group=P2_1/m pbc="T T T"
Ce 0.628 1.217 2.471
Ce 3.102 3.651 5.542
Er -0.585 1.217 6.524
Er 4.314 3.651 1.489
Bi 1.352 3.651 0.427
Bi -0.009 3.651 4.538
Bi 3.739 1.217 3.474
Bi 2.378 1.217 7.586


[4]
11
Lattice="8.901 -2.433 0.000 8.901 2.433 0.000 -2.838 0.000 7.624" Properties=species:S:1:pos:R:3 comment="PBE CeEr8Bi2, optimized geometry" delta_e_f_mev_per_atom=-225 e_tot_ev_per_cell=-52.67 space_group=C2/m pbc="T T T"
Ce 0.000 0.000 0.000
Er 0.337 0.000 3.551
Er 0.600 0.000 7.093
Er 4.051 0.000 6.027
Er 7.411 0.000 1.881
Er 7.554 0.000 5.744
Er 10.914 0.000 1.597
Er 14.365 0.000 0.531
Er 14.628 0.000 4.073
Bi 4.078 0.000 2.617
Bi 10.887 0.000 5.008


[5]
4
Lattice="0.000 3.829 3.829 3.829 0.000 3.829 3.829 3.829 0.000" Properties=species:S:1:pos:R:3 comment="PBE CeErHgBi, optimized geometry" delta_e_f_mev_per_atom=-449 e_tot_ev_per_cell=-16.47 space_group=F-43m pbc="T T T"
Ce 0.000 0.000 0.000
Er 3.829 3.829 3.829
Hg 1.915 1.915 1.915
Bi 5.744 5.744 5.744


[6]
12
Lattice="3.901 -6.757 0.000 3.901 6.757 0.000 -2.604 0.000 7.345" Properties=species:S:1:pos:R:3 comment="PBE Ce2HoEr3Bi6, optimized geometry" delta_e_f_mev_per_atom=-809 e_tot_ev_per_cell=-63.13 space_group=C2/m pbc="T T T"
Ce 3.901 4.514 0.000
Ce 3.901 -4.514 0.000
Ho 3.901 0.000 0.000
Er -1.302 0.000 3.673
Er 2.599 2.279 3.673
Er 2.599 -2.279 3.673
Bi 0.015 2.226 5.469
Bi 1.335 0.000 1.895
Bi 0.015 -2.226 5.469
Bi 5.183 2.226 1.876
Bi 3.864 0.000 5.450
Bi 5.183 -2.226 1.876


[7]
12
Lattice="9.814 -2.257 0.000 9.814 2.257 0.000 -2.061 0.000 8.769" Properties=species:S:1:pos:R:3 comment="PBE Ce2Ho3ErBi6, optimized geometry" delta_e_f_mev_per_atom=-816 e_tot_ev_per_cell=-63.25 space_group=C2/m pbc="T T T"
Ce 2.564 0.000 2.907
Ce 15.003 0.000 5.862
Ho 1.570 0.000 7.314
Ho 8.783 0.000 4.385
Ho 15.996 0.000 1.455
Er 9.814 0.000 0.000
Bi -1.501 0.000 6.594
Bi 4.657 0.000 8.092
Bi 5.721 0.000 3.617
Bi 11.845 0.000 5.152
Bi 12.910 0.000 0.677
Bi 19.068 0.000 2.175


[8]
12
Lattice="3.921 -6.792 0.000 3.921 6.792 0.000 -2.614 0.000 7.399" Properties=species:S:1:pos:R:3 comment="PBE Ce3Ho2ErBi6, optimized geometry" delta_e_f_mev_per_atom=-809 e_tot_ev_per_cell=-64.52 space_group=C2/m pbc="T T T"
Ce 0.000 0.000 0.000
Ce 3.921 2.268 0.000
Ce 3.921 -2.268 0.000
Ho 2.614 4.530 3.700
Ho 2.614 -4.530 3.700
Er 2.614 0.000 3.700
Bi 1.310 2.261 1.913
Bi 0.006 0.000 5.490
Bi 1.310 -2.261 1.913
Bi 3.918 2.261 5.486
Bi 5.223 0.000 1.909
Bi 3.918 -2.261 5.486


[9]
4
Lattice="0.000 3.857 3.857 3.857 0.000 3.857 3.857 3.857 0.000" Properties=species:S:1:pos:R:3 comment="PBE CeErInBi, optimized geometry" delta_e_f_mev_per_atom=-414 e_tot_ev_per_cell=-18.77 space_group=F-43m pbc="T T T"
Ce 0.000 0.000 0.000
Er 3.857 3.857 3.857
In 1.929 1.929 1.929
Bi 5.786 5.786 5.786


[10]
8
Lattice="7.991 0.000 0.000 0.000 4.623 0.000 -2.670 0.000 7.539" Properties=species:S:1:pos:R:3 comment="PBE La2CeErBi4, optimized geometry" delta_e_f_mev_per_atom=-925 e_tot_ev_per_cell=-43.27 space_group=P2/m pbc="T T T"
La 0.000 0.000 0.000
La 3.995 2.311 0.000
Ce -1.335 2.311 3.770
Er 2.661 0.000 3.770
Bi 0.025 0.000 5.581
Bi 1.357 2.311 1.978
Bi 3.964 2.311 5.561
Bi 5.296 0.000 1.958


[11]
8
Lattice="7.952 0.000 0.000 0.000 4.595 0.000 -2.653 0.000 7.500" Properties=species:S:1:pos:R:3 comment="PBE LaCe2ErBi4, optimized geometry" delta_e_f_mev_per_atom=-855 e_tot_ev_per_cell=-43.72 space_group=P2/m pbc="T T T"
La 0.000 0.000 0.000
Ce -1.327 2.298 3.750
Ce 2.649 0.000 3.750
Er 3.976 2.298 0.000
Bi 1.382 2.298 1.886
Bi 0.055 0.000 5.656
Bi 5.243 0.000 1.845
Bi 3.916 2.298 5.614


[12]
4
Lattice="0.000 3.846 3.846 3.846 0.000 3.846 3.846 3.846 0.000" Properties=species:S:1:pos:R:3 comment="PBE CeErMgBi, optimized geometry" delta_e_f_mev_per_atom=-249 e_tot_ev_per_cell=-16.97 space_group=F-43m pbc="T T T"
Ce 0.000 0.000 0.000
Er 3.846 3.846 3.846
Mg 5.769 5.769 5.769
Bi 1.923 1.923 1.923


[13]
9
Lattice="5.600 0.000 0.000 0.000 5.600 0.000 0.000 0.000 11.870" Properties=species:S:1:pos:R:3 comment="PBE Ce2NdErBi5, optimized geometry" delta_e_f_mev_per_atom=13 e_tot_ev_per_cell=-40.48 space_group=P4/mmm pbc="T T T"
Ce 0.000 0.000 2.563
Ce 0.000 0.000 9.307
Nd 2.800 2.800 0.000
Er 2.800 2.800 5.935
Bi 0.000 0.000 5.935
Bi 0.000 2.800 0.000
Bi 2.800 0.000 0.000
Bi 2.800 2.800 3.051
Bi 2.800 2.800 8.819


[14]
8
Lattice="7.901 0.000 0.000 0.000 4.570 0.000 -2.636 0.000 7.464" Properties=species:S:1:pos:R:3 comment="PBE CeNd2ErBi4, optimized geometry" delta_e_f_mev_per_atom=-873 e_tot_ev_per_cell=-42.54 space_group=P2/m pbc="T T T"
Ce 0.000 0.000 0.000
Nd -1.318 2.285 3.732
Nd 2.632 0.000 3.732
Er 3.950 2.285 0.000
Bi 1.345 2.285 1.826
Bi 0.025 0.000 5.660
Bi 5.240 0.000 1.804
Bi 3.920 2.285 5.638


[15]
8
Lattice="7.905 0.000 0.000 0.000 4.564 0.000 -2.637 0.000 7.462" Properties=species:S:1:pos:R:3 comment="PBE Ce2NdErBi4, optimized geometry" delta_e_f_mev_per_atom=-833 e_tot_ev_per_cell=-43.38 space_group=P2/m pbc="T T T"
Ce 0.000 0.000 0.000
Ce 3.952 2.282 0.000
Nd -1.318 2.282 3.731
Er 2.634 0.000 3.731
Bi 0.039 0.000 5.586
Bi 1.357 2.282 1.905
Bi 3.910 2.282 5.557
Bi 5.229 0.000 1.876


[16]
12
Lattice="3.966 -6.872 0.000 3.966 6.872 0.000 -2.649 0.000 7.477" Properties=species:S:1:pos:R:3 comment="PBE Ce3Nd2ErBi6, optimized geometry" delta_e_f_mev_per_atom=-847 e_tot_ev_per_cell=-65.36 space_group=C2/m pbc="T T T"
Ce 0.000 0.000 0.000
Ce 3.966 2.328 0.000
Ce 3.966 -2.328 0.000
Nd 2.642 4.596 3.739
Nd 2.642 -4.596 3.739
Er 2.642 0.000 3.739
Bi 1.347 2.250 1.889
Bi 0.048 0.000 5.614
Bi 1.347 -2.250 1.889
Bi 3.936 2.250 5.588
Bi 5.236 0.000 1.864
Bi 3.936 -2.250 5.588


[17]
5
Lattice="-1.974 1.974 6.577 1.974 -1.974 6.577 1.974 1.974 -6.577" Properties=species:S:1:pos:R:3 comment="PBE CeErBiO2, optimized geometry" e_tot_ev_per_cell=-37.49 formation_energy_uncorrected_ev_per_atom=-2.639 space_group=I4mm pbc="T T T"
Ce 0.000 0.000 0.000
Er 0.000 0.000 8.858
Bi 0.000 0.000 4.420
O 1.974 0.000 1.202
O 0.000 1.974 1.202


[18]
4
Lattice="0.000 3.890 3.890 3.890 0.000 3.890 3.890 3.890 0.000" Properties=species:S:1:pos:R:3 comment="PBE CeErBiPb, optimized geometry" delta_e_f_mev_per_atom=-441 e_tot_ev_per_cell=-19.85 space_group=F-43m pbc="T T T"
Ce 0.000 0.000 0.000
Er 3.890 3.890 3.890
Bi 5.835 5.835 5.835
Pb 1.945 1.945 1.945


[19]
9
Lattice="5.574 0.000 0.000 0.000 5.574 0.000 0.000 0.000 11.834" Properties=species:S:1:pos:R:3 comment="PBE CePm2ErBi5, optimized geometry" delta_e_f_mev_per_atom=-25 e_tot_ev_per_cell=-39.63 space_group=P4/mmm pbc="T T T"
Ce 0.000 0.000 0.000
Pm 2.787 2.787 2.642
Pm 2.787 2.787 9.192
Er 0.000 0.000 5.917
Bi 0.000 0.000 3.024
Bi 0.000 0.000 8.809
Bi 0.000 2.787 0.000
Bi 2.787 0.000 0.000
Bi 2.787 2.787 5.917


[20]
12
Lattice="9.841 -2.265 0.000 9.841 2.265 0.000 -2.041 0.000 8.799" Properties=species:S:1:pos:R:3 comment="PBE Ce2PmEr3Bi6, optimized geometry" delta_e_f_mev_per_atom=-828 e_tot_ev_per_cell=-63.53 space_group=C2/m pbc="T T T"
Ce 2.594 0.000 2.924
Ce 15.047 0.000 5.875
Pm 9.841 0.000 0.000
Er 1.568 0.000 7.336
Er 8.821 0.000 4.400
Er 16.074 0.000 1.463
Bi -1.485 0.000 6.553
Bi 4.639 0.000 8.109
Bi 5.759 0.000 3.623
Bi 11.883 0.000 5.176
Bi 13.002 0.000 0.690
Bi 19.126 0.000 2.246


[21]
8
Lattice="7.813 0.000 0.000 0.000 4.526 0.000 -2.616 0.000 7.386" Properties=species:S:1:pos:R:3 comment="PBE CePmEr2Bi4, optimized geometry" delta_e_f_mev_per_atom=-839 e_tot_ev_per_cell=-42.05 space_group=P2/m pbc="T T T"
Ce 0.000 0.000 0.000
Pm -1.308 2.263 3.693
Er 2.599 0.000 3.693
Er 3.906 2.263 0.000
Bi 0.051 0.000 5.564
Bi 1.361 2.263 1.868
Bi 5.146 0.000 1.822
Bi 3.836 2.263 5.518


[22]
8
Lattice="7.838 0.000 0.000 0.000 4.541 0.000 -2.623 0.000 7.416" Properties=species:S:1:pos:R:3 comment="PBE CePrEr2Bi4, optimized geometry" delta_e_f_mev_per_atom=-842 e_tot_ev_per_cell=-42.10 space_group=P2/m pbc="T T T"
Ce 0.000 0.000 0.000
Pr -1.311 2.270 3.708
Er 2.608 0.000 3.708
Er 3.919 2.270 0.000
Bi 1.379 2.270 1.866
Bi 0.065 0.000 5.606
Bi 5.150 0.000 1.810
Bi 3.836 2.270 5.550


[23]
9
Lattice="5.634 0.000 0.000 0.000 5.634 0.000 0.000 0.000 11.885" Properties=species:S:1:pos:R:3 comment="PBE Ce2PrErBi5, optimized geometry" delta_e_f_mev_per_atom=39 e_tot_ev_per_cell=-40.27 space_group=P4/mmm pbc="T T T"
Ce 0.000 0.000 2.563
Ce 0.000 0.000 9.322
Pr 2.817 2.817 0.000
Er 2.817 2.817 5.942
Bi 0.000 0.000 5.942
Bi 0.000 2.817 0.000
Bi 2.817 0.000 0.000
Bi 2.817 2.817 3.063
Bi 2.817 2.817 8.821